# Er4Ga3Ru

A geometry-optimized Er4Ga3Ru structure (PBE-GGA, Alexandria).

abc: 3.891 4.291 10.783
angles: 90.00 90.00 90.00
Sites, in units of the cell vectors:
Ga 0.000 0.500 0.577
Ga 0.500 0.000 0.929
Ga 0.000 0.000 0.426
Er 0.500 0.500 0.340
Er 0.500 0.000 0.650
Er 0.000 0.500 0.869
Er 0.000 0.000 0.139
Ru 0.500 0.500 0.070

Computed properties:
- DOS at the Fermi energy (states/eV/f.u.) = 5.8
- energy of formation (kJ per mole of atoms) = -54
- density (g/cm3) = 9.03
- raw total energy (eV per atom) = -5.14